Density functional theory data (PBE) for a relaxed structure of SmNiHg.

Unit cell a=3.8498 b=16.8739 c=3.9945 alpha=90.00 beta=90.00 gamma=90.00
Closest atoms and distances in Å follow each position.
Space group Cmcm (No. 63)
Asymmetric unit:
Sm: 0.0000 0.0966 0.2500  6 Ni 2.93-3.01
Ni: 0.0000 0.4597 0.2500  2 Ni 2.42
Hg: 0.0000 0.2971 0.2500  1 Ni 2.74

Properties
M_tot   0.0 μB/f.u.
N(E_F)   0.697 states/eV per atom
Formation energy from the elements   -0.4383 eV per atom